Record 1
Compound: Ir2PtRh
Source: Alexandria via LeMat-Bulk
Functional: meta-GGA SCAN
Structure: single point on PBEsol structure

Results
E_tot: -61.53 eV per atom
polymorph energy (0 for the lowest one): 20.0 meV per atom
DOS(E_F): 3.68 states/eV/cell
formation energy from the elements: 0.012 eV/atom

The structure in extended XYZ format:
```
4
Lattice="2.716 0.000 0.000 -1.358 4.494 0.001 0.000 -0.814 4.627" Properties=species:S:1:pos:R:3 pbc="T T T"
Pt 1.358 -0.399 2.307
Ir 0.000 1.659 3.510
Ir 1.358 3.672 4.610
Rh 1.358 2.021 1.142
```



Record 2
Compound: IrPt2Rh
Source: Alexandria via LeMat-Bulk
Functional: meta-GGA SCAN
Structure: single point on PBEsol structure

Results
E_tot: -61.27 eV per atom
polymorph energy (0 for the lowest one): 53.3 meV per atom
DOS(E_F): 4.93 states/eV/cell
formation energy from the elements: 0.046 eV/atom

The structure in extended XYZ format:
```
4
Lattice="2.736 0.000 0.000 -1.368 4.504 0.001 0.000 -0.831 4.659" Properties=species:S:1:pos:R:3 pbc="T T T"
Ir 1.368 0.000 0.000
Rh 0.000 -0.416 2.329
Pt 1.368 1.641 3.499
Pt 0.000 2.032 1.160
```



Record 3
Compound: Ir2PtRh
Source: Alexandria via LeMat-Bulk
Functional: meta-GGA SCAN
Structure: single point on PBEsol structure

Results
E_tot: -61.50 eV per atom
polymorph energy (0 for the lowest one): 47.4 meV per atom
DOS(E_F): 4.28 states/eV/cell
formation energy from the elements: 0.040 eV/atom

The structure in extended XYZ format:
```
4
Lattice="2.719 0.000 0.000 1.359 2.354 0.000 1.359 0.785 8.832" Properties=species:S:1:pos:R:3 pbc="T T T"
Ir 4.078 2.354 6.675
Ir 1.359 0.785 2.157
Rh 0.000 0.000 0.000
Pt 2.719 1.570 4.416
```



Record 4
Compound: IrPt2Rh
Source: Alexandria via LeMat-Bulk
Functional: meta-GGA SCAN
Structure: single point on PBEsol structure

Results
E_tot: -61.01 eV per atom
polymorph energy (0 for the lowest one): 312.3 meV per atom
DOS(E_F): 4.00 states/eV/cell
formation energy from the elements: 0.305 eV/atom

The structure in extended XYZ format:
```
4
Lattice="-3.141 -2.944 -0.697 0.442 -2.948 -3.183 0.682 -4.192 0.990" Properties=species:S:1:pos:R:3 pbc="T T T"
Ir 0.000 0.000 0.000
Pt -0.504 -2.521 -0.722
Pt -1.513 -7.563 -2.167
Rh -1.009 -5.042 -1.445
```



Record 5
Compound: IrPtRh2
Source: Alexandria via LeMat-Bulk
Functional: meta-GGA SCAN
Structure: single point on PBEsol structure

Results
E_tot: -52.25 eV per atom
polymorph energy (0 for the lowest one): 20.3 meV per atom
DOS(E_F): 3.83 states/eV/cell
formation energy from the elements: -0.038 eV/atom

The structure in extended XYZ format:
```
4
Lattice="2.704 0.000 0.000 1.352 2.342 0.000 1.352 0.781 8.834" Properties=species:S:1:pos:R:3 pbc="T T T"
Ir 2.704 1.561 4.417
Rh 1.352 0.781 2.261
Pt 0.000 0.000 0.000
Rh 4.056 2.342 6.573
```



Record 6
Compound: Ir2PtRh
Source: Alexandria via LeMat-Bulk
Functional: meta-GGA SCAN
Structure: single point on PBEsol structure

Results
E_tot: -61.54 eV per atom
polymorph energy (0 for the lowest one): 11.2 meV per atom
DOS(E_F): 3.72 states/eV/cell
formation energy from the elements: 0.004 eV/atom

The structure in extended XYZ format:
```
4
Lattice="2.716 0.001 -0.001 1.359 2.352 -0.001 1.354 0.782 8.853" Properties=species:S:1:pos:R:3 pbc="T T T"
Ir 4.075 2.353 0.001
Rh 1.357 0.783 2.166
Ir 4.072 2.351 6.689
Pt 2.715 1.567 4.417
```



Record 7
Compound: IrPt2Rh
Source: Alexandria via LeMat-Bulk
Functional: meta-GGA SCAN
Structure: single point on PBEsol structure

Results
E_tot: -61.17 eV per atom
polymorph energy (0 for the lowest one): 153.3 meV per atom
DOS(E_F): 4.14 states/eV/cell
formation energy from the elements: 0.146 eV/atom

The structure in extended XYZ format:
```
4
Lattice="2.689 0.005 0.000 -0.051 4.637 0.000 -1.319 -2.321 4.691" Properties=species:S:1:pos:R:3 pbc="T T T"
Pt 0.660 1.160 2.346
Pt -0.660 -1.160 2.346
Ir 1.319 2.321 0.000
Rh 0.000 0.000 0.000
```



Record 8
Compound: IrPtRh2
Source: Alexandria via LeMat-Bulk
Functional: meta-GGA SCAN
Structure: single point on PBEsol structure

Results
E_tot: -52.27 eV per atom
polymorph energy (0 for the lowest one): 0.0 meV per atom
DOS(E_F): 4.36 states/eV/cell
formation energy from the elements: -0.058 eV/atom

The structure in extended XYZ format:
```
4
Lattice="-0.682 -2.455 -0.885 1.720 0.264 -2.061 5.587 -3.090 4.266" Properties=species:S:1:pos:R:3 pbc="T T T"
Ir 0.519 -1.095 -1.473
Rh 1.348 -0.746 1.029
Rh 4.239 -2.344 3.236
Pt 3.312 -2.640 0.660
```



Record 9
Compound: IrPt2Rh
Source: Alexandria via LeMat-Bulk
Functional: meta-GGA SCAN
Structure: single point on PBEsol structure

Results
E_tot: -61.27 eV per atom
polymorph energy (0 for the lowest one): 54.5 meV per atom
DOS(E_F): 5.68 states/eV/cell
formation energy from the elements: 0.048 eV/atom

The structure in extended XYZ format:
```
4
Lattice="2.735 0.000 0.000 0.000 4.712 0.012 0.000 -1.550 4.450" Properties=species:S:1:pos:R:3 pbc="T T T"
Ir 1.367 1.581 2.231
Pt 0.000 2.356 0.006
Rh 1.367 0.000 0.000
Pt 0.000 -0.775 2.225
```



Record 10
Compound: Ir2Pt2Rh
Source: Alexandria via LeMat-Bulk
Functional: meta-GGA SCAN
Structure: single point on PBEsol structure

Results
E_tot: -62.75 eV per atom
DOS(E_F): 5.76 states/eV/cell
formation energy from the elements: 0.521 eV/atom

The structure in extended XYZ format:
```
5
Lattice="3.564 0.000 0.000 0.000 3.564 0.000 -1.782 -1.782 6.312" Properties=species:S:1:pos:R:3 pbc="T T T"
Pt 1.782 1.782 1.241
Ir 0.000 1.782 3.156
Pt 0.000 0.000 5.071
Rh 0.000 0.000 0.000
Ir 1.782 0.000 3.156
```



Record 11
Compound: Ir2PtRh
Source: Alexandria via LeMat-Bulk
Functional: meta-GGA SCAN
Structure: single point on PBEsol structure

Results
E_tot: -61.49 eV per atom
polymorph energy (0 for the lowest one): 57.7 meV per atom
DOS(E_F): 4.51 states/eV/cell
formation energy from the elements: 0.050 eV/atom

The structure in extended XYZ format:
```
4
Lattice="3.832 0.000 0.000 0.000 3.832 0.000 0.000 0.000 3.844" Properties=species:S:1:pos:R:3 pbc="T T T"
Ir 0.000 1.916 0.000
Ir 1.916 0.000 0.000
Pt 1.916 1.916 1.922
Rh 0.000 0.000 1.922
```



Record 12
Compound: IrPt2Rh
Source: Alexandria via LeMat-Bulk
Functional: meta-GGA SCAN
Structure: single point on PBEsol structure

Results
E_tot: -61.26 eV per atom
polymorph energy (0 for the lowest one): 56.3 meV per atom
DOS(E_F): 5.13 states/eV/cell
formation energy from the elements: 0.049 eV/atom

The structure in extended XYZ format:
```
4
Lattice="-2.306 -1.472 -0.105 2.009 -3.199 0.721 -0.723 0.752 5.348" Properties=species:S:1:pos:R:3 pbc="T T T"
Pt -0.181 0.189 1.341
Ir -0.510 -1.960 2.982
Pt -0.541 0.563 4.007
Rh -0.148 -2.336 0.308
```



Record 13
Compound: Ir2PtRh
Source: Alexandria via LeMat-Bulk
Functional: meta-GGA SCAN
Structure: single point on PBEsol structure

Results
E_tot: -61.54 eV per atom
polymorph energy (0 for the lowest one): 6.5 meV per atom
DOS(E_F): 3.75 states/eV/cell
formation energy from the elements: -0.001 eV/atom

The structure in extended XYZ format:
```
4
Lattice="2.716 0.000 0.000 0.000 3.831 0.000 0.000 0.000 5.425" Properties=species:S:1:pos:R:3 pbc="T T T"
Pt 0.000 0.000 2.716
Rh 1.358 1.916 4.094
Ir 1.358 1.916 1.314
Ir 0.000 0.000 0.013
```



Record 14
Compound: TiIrPtRh2
Source: Alexandria via LeMat-Bulk
Functional: meta-GGA SCAN
Structure: single point on PBEsol structure

Results
E_tot: -43.95 eV per atom
DOS(E_F): 6.36 states/eV/cell
formation energy from the elements: 1.027 eV/atom

The structure in extended XYZ format:
```
5
Lattice="4.483 0.000 0.000 0.000 4.622 0.000 0.000 0.000 4.622" Properties=species:S:1:pos:R:3 pbc="T T T"
Ir 0.000 0.000 0.000
Rh 0.000 2.311 0.000
Ti 2.242 0.000 0.000
Rh 0.000 0.000 2.311
Pt 2.242 2.311 2.311
```



Record 15
Compound: IrRu2Pt
Source: Alexandria via LeMat-Bulk
Functional: meta-GGA SCAN
Structure: single point on PBEsol structure

Results
E_tot: -52.75 eV per atom
polymorph energy (0 for the lowest one): 3.8 meV per atom
DOS(E_F): 4.17 states/eV/cell
formation energy from the elements: -0.013 eV/atom

The structure in extended XYZ format:
```
4
Lattice="-0.950 -0.547 2.453 3.587 -0.329 1.316 0.046 5.251 1.189" Properties=species:S:1:pos:R:3 pbc="T T T"
Ir 1.319 -0.438 1.884
Ru 0.011 1.279 0.290
Ru 0.035 3.972 0.900
Pt 1.341 2.188 2.479
```



Record 16
Compound: IrRu2Pt
Source: Alexandria via LeMat-Bulk
Functional: meta-GGA SCAN
Structure: single point on PBEsol structure

Results
E_tot: -52.73 eV per atom
polymorph energy (0 for the lowest one): 22.1 meV per atom
DOS(E_F): 3.93 states/eV/cell
formation energy from the elements: 0.005 eV/atom

The structure in extended XYZ format:
```
4
Lattice="-1.313 2.687 2.354 -1.822 -2.661 2.021 4.657 -0.444 0.029" Properties=species:S:1:pos:R:3 pbc="T T T"
Ru 0.634 -1.546 2.119
Ir -1.567 0.013 2.188
Ru 0.000 0.000 0.000
Pt 0.888 1.128 2.285
```